(1)
MgAu2Se: optimized geometry, GGA-PBE.

Summary:
**Crystal system**: trigonal
**E above lowest polymorph**: 0.3448 eV per atom
**Raw total energy**: -2.96 eV/atom
**Formation energy from raw total energies**: -0.055 eV/atom

a = 3.0981 Å, b = 3.0981 Å, c = 27.6570 Å
α = 90.00°, β = 90.00°, γ = 120.00°
Closest atoms and distances in Å follow each position.
Space group R-3m (No. 166, hexagonal axes)
Asymmetric unit:
Mg 0.0000 0.0000 0.0000 (multiplicity 3)  6 Au 2.77, 6 Mg 3.10
Au 0.0000 0.0000 0.2570 (multiplicity 6)  3 Mg 2.77, 3 Se 3.07, 6 Au 3.10
Se 0.0000 0.0000 0.5000 (multiplicity 3)  6 Au 3.07, 6 Se 3.10


(2)
MgAu2Se: optimized geometry, GGA-PBE.

Summary:
**Crystal system**: cubic
**E above lowest polymorph**: 0.1951 eV per atom
**Raw total energy**: -3.11 eV/atom
**Formation energy from raw total energies**: -0.204 eV/atom

a = 6.7583 Å, b = 6.7583 Å, c = 6.7583 Å
α = 90.00°, β = 90.00°, γ = 90.00°
Closest atoms and distances in Å follow each position.
Space group F-43m (No. 216)
Asymmetric unit:
Mg 0.0000 0.0000 0.0000 (multiplicity 4)  4 Se 2.93, 4 Au 2.93
Au 0.0000 0.0000 0.5000 (multiplicity 4)  4 Au 2.93, 4 Se 2.93
Au 0.2500 0.2500 0.2500 (multiplicity 4)  4 Mg 2.93, 4 Au 2.93
Se 0.2500 0.2500 0.7500 (multiplicity 4)  4 Au 2.93, 4 Mg 2.93


(3)
MgAuSe2: optimized geometry, GGA-PBE.

Summary:
**Crystal system**: monoclinic
**Raw total energy**: -3.32 eV/atom
**Formation energy from raw total energies**: -0.359 eV/atom

a = 6.0855 Å, b = 7.6483 Å, c = 4.4838 Å
α = 90.00°, β = 122.58°, γ = 90.00°
Closest atoms and distances in Å follow each position.
Space group C2/m (No. 12)
Asymmetric unit:
Mg 0.0000 0.0000 0.0000 (multiplicity 2)  4 Se 2.71
Au 0.0000 0.5000 0.0000 (multiplicity 2)  4 Se 2.71
Se 0.2500 0.2500 0.5000 (multiplicity 4)  2 Mg 2.71, 2 Au 2.71